# 1
TbSmC2I2: relaxed, PBE-GGA.

```
data_TbSmC2I2
_symmetry_space_group_name_H-M 'C 1 m 1'
_symmetry_Int_Tables_number 8
_cell_length_a 7.4144
_cell_length_b 3.9571
_cell_length_c 11.3936
_cell_angle_alpha 90.00
_cell_angle_beta 93.25
_cell_angle_gamma 90.00
loop_
_symmetry_equiv_pos_as_xyz
'x,y,z'
'x,-y,z'
'x+1/2,y+1/2,z'
'x+1/2,-y+1/2,z'
loop_
_atom_site_label
_atom_site_fract_x
_atom_site_fract_y
_atom_site_fract_z
_atom_site_occupancy
Tb1 0.0000 0.0000 0.0000 1
Sm1 0.2906 0.0000 0.2465 1
C1 0.0690 0.5000 0.1466 1
C2 0.2225 0.5000 0.0921 1
I1 0.3224 0.0000 0.8157 1
I2 0.4705 0.5000 0.4356 1
```

Results
* DFT total energy: -72.05 eV for the cell shown
* crystal system: monoclinic

---

# 2
Sm2Tm2CI5: relaxed, PBE-GGA.

```
data_Sm2Tm2CI5
_symmetry_space_group_name_H-M 'C 1 2/m 1'
_symmetry_Int_Tables_number 12
_cell_length_a 19.7197
_cell_length_b 3.9931
_cell_length_c 8.7078
_cell_angle_alpha 90.00
_cell_angle_beta 102.27
_cell_angle_gamma 90.00
loop_
_symmetry_equiv_pos_as_xyz
'x,y,z'
'-x,-y,-z'
'-x,y,-z'
'x,-y,z'
'x+1/2,y+1/2,z'
'-x+1/2,-y+1/2,-z'
'-x+1/2,y+1/2,-z'
'x+1/2,-y+1/2,z'
loop_
_atom_site_label
_atom_site_fract_x
_atom_site_fract_y
_atom_site_fract_z
_atom_site_occupancy
Sm1 0.9995 0.0000 0.1940 1
Tm1 0.1223 0.5000 0.0604 1
C1 0.0000 0.5000 0.0000 1
I1 0.0000 0.5000 0.5000 1
I2 0.1629 0.0000 0.3261 1
I3 0.1655 0.0000 0.8349 1
```

Results
* energy above the most stable polymorph in this dataset: 0.000 eV/atom
* crystal system: monoclinic

---

# 3
Sm2Tm2CI5: relaxed, PBE-GGA.

```
data_Sm2Tm2CI5
_symmetry_space_group_name_H-M 'C 1 2/m 1'
_symmetry_Int_Tables_number 12
_cell_length_a 19.0623
_cell_length_b 3.9596
_cell_length_c 8.6162
_cell_angle_alpha 90.00
_cell_angle_beta 102.81
_cell_angle_gamma 90.00
loop_
_symmetry_equiv_pos_as_xyz
'x,y,z'
'-x,-y,-z'
'-x,y,-z'
'x,-y,z'
'x+1/2,y+1/2,z'
'-x+1/2,-y+1/2,-z'
'-x+1/2,y+1/2,-z'
'x+1/2,-y+1/2,z'
loop_
_atom_site_label
_atom_site_fract_x
_atom_site_fract_y
_atom_site_fract_z
_atom_site_occupancy
Sm1 0.1327 0.0000 0.0659 1
Tm1 0.9996 0.5000 0.1849 1
C1 0.0000 0.0000 0.0000 1
I1 0.0000 0.0000 0.5000 1
I2 0.1600 0.5000 0.3492 1
I3 0.1645 0.5000 0.8099 1
```

Results
* energy above the most stable polymorph in this dataset: 0.015 eV/atom
* crystal system: monoclinic

---

# 4
SmTmC2I2: relaxed, PBE-GGA.

```
data_SmTmC2I2
_symmetry_space_group_name_H-M 'C 1 m 1'
_symmetry_Int_Tables_number 8
_cell_length_a 7.3585
_cell_length_b 3.9180
_cell_length_c 11.3195
_cell_angle_alpha 90.00
_cell_angle_beta 93.24
_cell_angle_gamma 90.00
loop_
_symmetry_equiv_pos_as_xyz
'x,y,z'
'x,-y,z'
'x+1/2,y+1/2,z'
'x+1/2,-y+1/2,z'
loop_
_atom_site_label
_atom_site_fract_x
_atom_site_fract_y
_atom_site_fract_z
_atom_site_occupancy
Sm1 0.0000 0.0000 0.0000 1
Tm1 0.2089 0.5000 0.7555 1
C1 0.2781 0.0000 0.8973 1
C2 0.4329 0.0000 0.8422 1
I1 0.0331 0.0000 0.5728 1
I2 0.1809 0.5000 0.1920 1
```

Results
* DFT total energy: -71.54 eV for the cell shown
* crystal system: monoclinic

---

# 5
Sm2Y2CI5: relaxed, PBE-GGA.

```
data_Sm2Y2CI5
_symmetry_space_group_name_H-M 'C 1 2/m 1'
_symmetry_Int_Tables_number 12
_cell_length_a 19.3266
_cell_length_b 4.0236
_cell_length_c 8.7219
_cell_angle_alpha 90.00
_cell_angle_beta 102.51
_cell_angle_gamma 90.00
loop_
_symmetry_equiv_pos_as_xyz
'x,y,z'
'-x,-y,-z'
'-x,y,-z'
'x,-y,z'
'x+1/2,y+1/2,z'
'-x+1/2,-y+1/2,-z'
'-x+1/2,y+1/2,-z'
'x+1/2,-y+1/2,z'
loop_
_atom_site_label
_atom_site_fract_x
_atom_site_fract_y
_atom_site_fract_z
_atom_site_occupancy
Sm1 0.0007 0.0000 0.3064 1
Y1 0.1278 0.5000 0.5636 1
C1 0.0000 0.5000 0.5000 1
I1 0.0000 0.5000 0.0000 1
I2 0.1649 0.0000 0.8351 1
I3 0.1689 0.0000 0.3285 1
```

Results
* energy above the most stable polymorph in this dataset: 0.000 eV/atom
* crystal system: monoclinic

---

# 6
SmYC2I2: relaxed, PBE-GGA.

```
data_SmYC2I2
_symmetry_space_group_name_H-M 'C 1 m 1'
_symmetry_Int_Tables_number 8
_cell_length_a 7.4093
_cell_length_b 3.9538
_cell_length_c 11.3876
_cell_angle_alpha 90.00
_cell_angle_beta 93.16
_cell_angle_gamma 90.00
loop_
_symmetry_equiv_pos_as_xyz
'x,y,z'
'x,-y,z'
'x+1/2,y+1/2,z'
'x+1/2,-y+1/2,z'
loop_
_atom_site_label
_atom_site_fract_x
_atom_site_fract_y
_atom_site_fract_z
_atom_site_occupancy
Sm1 0.0000 0.0000 0.0000 1
Y1 0.2092 0.5000 0.7537 1
C1 0.2791 0.0000 0.8999 1
C2 0.4324 0.0000 0.8450 1
I1 0.0319 0.0000 0.5696 1
I2 0.1800 0.5000 0.1895 1
```

Results
* DFT total energy: -75.69 eV for the cell shown
* crystal system: monoclinic